(1)
CuAs3F | GGA-PBEsol | relaxed

Raw formation energy: 0.448 eV per atom
Energy above the most stable polymorph in this dataset: 0.0000 eV per atom
DOS at the Fermi energy: 0.7061 states/eV per atom
Mass density: 5.272 Mg/m³

a b c (Å): 4.591 4.591 4.591
angles (deg): 90.00 90.00 90.00
Space group Pm-3m (No. 221)
Symmetry-distinct sites (fractional):
Cu: 0.000 0.000 0.000 x1
As: 0.000 0.000 0.500 x3
F: 0.500 0.500 0.500 x1

***

(2)
Cu3As4O6F6 | GGA-PBEsol | relaxed

Raw formation energy: -1.326 eV per atom
DOS at the Fermi energy: 0.2992 states/eV per atom
Mass density: 4.696 Mg/m³

a b c (Å): 7.912 7.912 7.912
angles (deg): 90.00 90.00 90.00
Space group I-43m (No. 217)
Symmetry-distinct sites (fractional):
Cu: 0.000 0.000 0.500 x6
As: 0.150 0.150 0.150 x8
O: 0.000 0.000 0.244 x12
F: 0.000 0.250 0.500 x12

***

(3)
CuAsH2 | GGA-PBEsol | relaxed

Energy above the most stable polymorph in this dataset: 0.0000 eV per atom
DOS at the Fermi energy: 0.1660 states/eV per atom
Mass density: 5.864 Mg/m³

a b c (Å): 4.635 4.635 7.406
angles (deg): 90.00 90.00 90.00
Space group I-42d (No. 122)
Symmetry-distinct sites (fractional):
Cu: 0.000 0.000 0.000 x4
As: 0.000 0.000 0.500 x4
H: 0.148 0.250 0.125 x8

***

(4)
CuAsH2 | GGA-PBEsol | relaxed

Energy above the most stable polymorph in this dataset: 0.2382 eV per atom
DOS at the Fermi energy: 0.4538 states/eV per atom
Mass density: 6.483 Mg/m³

a b c (Å): 5.241 5.241 5.241
angles (deg): 90.00 90.00 90.00
Space group Fm-3m (No. 225)
Symmetry-distinct sites (fractional):
Cu: 0.000 0.000 0.000 x4
As: 0.000 0.000 0.500 x4
H: 0.250 0.250 0.250 x8

***

(5)
K4Cu3As4H2O16 | GGA-PBEsol | relaxed

DOS at the Fermi energy: 0.0703 states/eV per atom
Mass density: 3.739 Mg/m³
VASP energy: -165.628 eV/f.u.

a b c (Å): 9.388 10.118 9.627
angles (deg): 90.00 118.50 90.00
Space group P2_1/c (No. 14)
Symmetry-distinct sites (fractional):
K: 0.104 0.124 0.164 x4
K: 0.239 0.006 0.678 x4
Cu: 0.381 0.652 0.620 x4
Cu: 0.500 0.000 0.500 x2
As: 0.188 0.668 0.810 x4
As: 0.399 0.206 0.045 x4
H: 0.113 0.197 0.869 x4
O: 0.010 0.144 0.730 x4
O: 0.180 0.651 0.628 x4
O: 0.197 0.249 0.478 x4
O: 0.255 0.677 0.389 x4
O: 0.282 0.537 0.934 x4
O: 0.415 0.193 0.876 x4
O: 0.444 0.073 0.163 x4
O: 0.499 0.649 0.857 x4

***

(6)
NaCu5Sb2As6H18O34 | GGA-PBEsol | relaxed

DOS at the Fermi energy: 0.1248 states/eV per atom
Mass density: 3.874 Mg/m³
VASP energy: -370.642 eV/f.u.

a b c (Å): 7.102 9.892 10.681
angles (deg): 107.89 103.94 94.24
Space group P-1 (No. 2)
Symmetry-distinct sites (fractional):
Na: 0.000 0.000 0.000 x1
Cu: 0.000 0.500 0.500 x1
Cu: 0.074 0.384 0.173 x2
Cu: 0.500 0.500 0.000 x1
Cu: 0.500 0.500 0.500 x1
Sb: 0.000 0.000 0.500 x1
Sb: 0.500 0.000 0.500 x1
As: 0.158 0.702 0.347 x2
As: 0.212 0.201 0.351 x2
As: 0.353 0.651 0.776 x2
H: 0.063 0.371 0.933 x2
H: 0.152 0.023 0.800 x2
H: 0.189 0.249 0.965 x2
H: 0.279 0.295 0.771 x2
H: 0.310 0.793 0.035 x2
H: 0.316 0.911 0.176 x2
H: 0.331 0.041 0.925 x2
H: 0.447 0.859 0.737 x2
H: 0.495 0.310 0.757 x2
O: 0.013 0.095 0.362 x2
O: 0.024 0.189 0.649 x2
O: 0.089 0.584 0.185 x2
O: 0.103 0.586 0.698 x2
O: 0.132 0.203 0.190 x2
O: 0.166 0.351 0.006 x2
O: 0.205 0.634 0.476 x2
O: 0.218 0.085 0.895 x2
O: 0.251 0.879 0.077 x2
O: 0.279 0.356 0.485 x2
O: 0.282 0.024 0.579 x2
O: 0.373 0.808 0.354 x2
O: 0.386 0.838 0.806 x2
O: 0.390 0.648 0.939 x2
O: 0.400 0.093 0.356 x2
O: 0.405 0.362 0.805 x2
O: 0.481 0.416 0.308 x2